First-principles (PBE) data for an optimized crystal structure of Sm3Dy2Al2, as listed in Alexandria.

Values from the calculation:
**Energy**: -4.597 eV per atom
**SG**: I4/mmm (139)
**N(E_F)**: 6.25 states/eV per cell
**Formation energy**: -190.7 meV/atom

```
7
Lattice="-3.040 -1.475 1.107 1.654 -1.239 2.892 -5.927 13.031 6.793" Properties=species:S:1:pos:R:3 pbc="T T T"
Al -6.163 9.996 7.812
Al -1.150 0.321 2.980
Dy -5.111 6.133 5.554
Dy -2.201 4.184 5.238
Sm -3.944 1.847 3.050
Sm 0.000 0.000 0.000
Sm -3.369 8.471 7.743
```